Record 1
Below is a relaxed structure of PmEuSi4, with properties calculated at the PBE level.

Properties
* SG: F-43m (216)
* formation energy without anion corrections: -0.308 eV/atom

abc: 5.428 5.428 5.428
angles: 60.00 60.00 60.00
Last column: magnetic moment on the atom in μB.
Positions (direct):
Eu (0.250, 0.250, 0.250)  6.83
Si (0.628, 0.628, 0.117)  -0.01
Si (0.628, 0.117, 0.628)  -0.01
Si (0.628, 0.628, 0.628)  -0.01
Si (0.117, 0.628, 0.628)  -0.01
Pm (0.000, 0.000, 0.000)  0.15



Record 2
Below is a relaxed structure of Pm2EuSi, with properties calculated at the PBE level.

Properties
* distance to the lowest polymorph of the same formula: 0.0000 eV per atom
* SG: P4/mmm (123)
* formation energy without anion corrections: -0.208 eV/atom

abc: 4.641 4.833 4.833
angles: 90.00 90.00 90.00
Last column: magnetic moment on the atom in μB.
Positions (direct):
Eu (0.500, 0.500, 0.500)  6.91
Si (0.500, 0.000, 0.000)  -0.04
Pm (0.000, 0.000, 0.500)  0.10
Pm (0.000, 0.500, 0.000)  0.10



Record 3
Below is a relaxed structure of Pm2EuSi, with properties calculated at the PBE level.

Properties
* distance to the lowest polymorph of the same formula: 0.0147 eV per atom
* SG: R-3m (166)
* formation energy without anion corrections: -0.193 eV/atom

abc: 4.138 4.138 9.998
angles: 78.06 78.06 60.00
Last column: magnetic moment on the atom in μB.
Positions (direct):
Eu (0.500, 0.500, 0.500)  7.03
Si (0.000, 0.000, 0.000)  0.00
Pm (0.278, 0.278, 0.167)  0.13
Pm (0.722, 0.722, 0.833)  0.13